# 1
Computed, not measured: crystalline BaSrPtPbCl at its relaxed geometry at the PBE level of DFT.

Geometry as POSCAR:
```
BaSrPtPbCl
1.0
5.256 0.000 0.000
0.000 4.382 0.000
-5.172 0.000 16.233
Pb Sr Ba Pt Cl
2 2 2 2 2
direct
0.339 0.000 0.882
0.339 0.500 0.382
0.926 0.000 0.470
0.926 0.500 0.970
0.662 0.000 0.210
0.662 0.500 0.710
0.798 0.000 0.840
0.798 0.500 0.340
0.057 0.000 0.103
0.057 0.500 0.603
```

Energy relative to the elements, uncorrected ... -532 kJ/mol of formula units
Energy above the lowest structure with this stoichiometry ... 0.42 eV per formula unit

***

# 2
Computed, not measured: crystalline ZrWN2 at its relaxed geometry at the PBE level of DFT.

Geometry as POSCAR:
```
ZrWN2
1.0
-0.303 -3.901 0.366
1.230 -1.766 3.288
-2.613 -1.542 2.498
Zr W N
1 1 2
direct
0.000 0.000 0.000
0.500 0.500 0.500
0.250 0.250 0.250
0.750 0.750 0.750
```

Energy relative to the elements, uncorrected ... -107 kJ/mol of formula units
Energy above the lowest structure with this stoichiometry ... 1.36 eV per formula unit

***

# 3
Computed, not measured: crystalline NaLiMg3 at its relaxed geometry at the PBE level of DFT.

Geometry as POSCAR:
```
NaLiMg3
1.0
5.129 0.000 0.000
0.000 5.129 0.000
0.000 0.000 5.129
Na Mg Li
1 3 1
direct
0.500 0.500 0.500
0.000 0.500 0.000
0.000 0.000 0.500
0.500 0.000 0.000
0.000 0.000 0.000
```

Formation enthalpy at 0 K ... 0.249 eV/atom
Energy above the lowest structure with this stoichiometry ... 0.00 eV per formula unit

***

# 4
Computed, not measured: crystalline Ta2TlTe at its relaxed geometry at the PBE level of DFT.

Geometry as POSCAR:
```
Ta2TlTe
1.0
4.508 0.000 0.000
0.000 3.176 -0.002
0.000 1.143 5.939
Ta Te Tl
2 1 1
direct
0.000 0.976 0.026
0.000 0.524 0.474
0.500 0.250 0.250
0.500 0.750 0.750
```

Energy relative to the elements, uncorrected ... 242 kJ/mol of formula units
Energy above the lowest structure with this stoichiometry ... 1.84 eV per formula unit

***

# 5
Computed, not measured: crystalline Rb3Pt2Cl8 at its relaxed geometry at the PBE level of DFT.

Geometry as POSCAR:
```
Rb3Pt2Cl8
1.0
6.905 0.000 2.609
2.960 6.239 2.609
0.346 0.219 9.526
Rb Pt Cl
3 2 8
direct
0.000 0.000 0.000
0.225 0.225 0.324
0.775 0.775 0.676
0.448 0.448 0.656
0.552 0.552 0.344
0.351 0.351 0.946
0.649 0.649 0.054
0.262 0.815 0.661
0.815 0.262 0.661
0.262 0.262 0.661
0.185 0.738 0.339
0.738 0.185 0.339
0.738 0.738 0.339
```

Energy relative to the elements, uncorrected ... -1173 kJ/mol of formula units

***

# 6
Computed, not measured: crystalline BeFeP at its relaxed geometry at the PBE level of DFT.

Geometry as POSCAR:
```
BeFeP
1.0
4.009 0.003 -0.099
1.900 3.530 0.099
-2.903 -1.852 2.055
P Fe Be
1 1 1
direct
0.670 0.670 0.000
0.331 0.331 0.000
0.999 0.999 0.000
```

Formation enthalpy at 0 K ... -0.380 eV/atom
Energy above the lowest structure with this stoichiometry ... 0.06 eV per formula unit

***

# 7
Computed, not measured: crystalline MnRuRh at its relaxed geometry at the PBE level of DFT.

Geometry as POSCAR:
```
MnRuRh
1.0
-2.034 -4.544 1.109
4.206 -1.994 -0.455
2.939 4.900 5.696
Mn Ru Rh
4 4 4
direct
0.500 0.180 0.500
0.500 0.680 0.000
0.000 0.511 0.000
0.000 0.011 0.500
0.503 0.184 0.172
0.497 0.184 0.828
0.503 0.684 0.672
0.497 0.684 0.328
0.000 0.010 0.168
0.000 0.010 0.832
0.000 0.510 0.668
0.000 0.510 0.332
```

Formation enthalpy at 0 K ... -0.040 eV/atom
Energy above the lowest structure with this stoichiometry ... 0.03 eV per formula unit

***

# 8
Computed, not measured: crystalline Pr2Y2Tl at its relaxed geometry at the PBE level of DFT.

Geometry as POSCAR:
```
Pr2Y2Tl
1.0
8.637 0.000 0.584
4.318 4.815 0.292
4.253 0.000 8.064
Pr Y Tl
4 4 2
direct
0.737 0.000 0.426
0.607 0.000 0.115
0.393 0.000 0.885
0.263 0.000 0.574
0.669 0.368 0.719
0.331 0.632 0.281
0.037 0.632 0.719
0.963 0.368 0.281
0.168 0.663 0.000
0.832 0.337 0.000
```

Formation enthalpy at 0 K ... -0.091 eV/atom

***

# 9
Computed, not measured: crystalline Na2H5W at its relaxed geometry at the PBE level of DFT.

Geometry as POSCAR:
```
Na2H5W
1.0
2.792 -0.036 0.819
-2.095 4.835 2.136
-1.611 0.270 5.505
Na H W
2 5 1
direct
0.719 0.353 0.304
0.395 0.707 0.628
0.687 0.287 0.899
0.058 0.032 0.304
0.941 0.801 0.859
0.426 0.770 0.164
0.165 0.245 0.631
0.056 0.028 0.987
```

Uncorrected energy ... -4.076 eV/atom

***

# 10
Computed, not measured: crystalline Ti2FeAgPb at its relaxed geometry at the PBE level of DFT.

Geometry as POSCAR:
```
Ti2FeAgPb
1.0
4.976 0.000 0.000
0.000 5.089 0.000
0.000 0.000 4.976
Pb Fe Ag Ti
1 1 1 2
direct
0.000 0.500 0.000
0.500 0.500 0.500
0.000 0.000 0.000
0.000 0.000 0.500
0.500 0.000 0.000
```

Formation enthalpy at 0 K ... 1.392 eV/atom

***

# 11
Computed, not measured: crystalline Er3Zn6Au5 at its relaxed geometry at the PBE level of DFT.

Geometry as POSCAR:
```
Er3Zn6Au5
1.0
4.412 0.000 0.000
0.000 9.412 0.000
0.000 0.000 12.794
Er Zn Au
6 12 10
direct
0.000 0.252 0.700
0.500 0.748 0.200
0.500 0.748 0.800
0.000 0.254 0.000
0.500 0.746 0.500
0.000 0.252 0.300
0.000 0.978 0.849
0.500 0.022 0.651
0.500 0.407 0.828
0.500 0.571 0.000
0.000 0.429 0.500
0.000 0.593 0.672
0.000 0.593 0.328
0.500 0.948 0.000
0.000 0.978 0.151
0.500 0.407 0.172
0.000 0.052 0.500
0.500 0.022 0.349
0.000 0.534 0.877
0.000 0.865 0.653
0.000 0.786 0.000
0.500 0.466 0.623
0.500 0.214 0.500
0.000 0.534 0.123
0.500 0.466 0.377
0.000 0.865 0.347
0.500 0.135 0.847
0.500 0.135 0.153
```

Formation enthalpy at 0 K ... -0.543 eV/atom

***

# 12
Computed, not measured: crystalline La3HoTl3 at its relaxed geometry at the PBE level of DFT.

Geometry as POSCAR:
```
La3HoTl3
1.0
9.690 0.000 0.000
0.000 9.690 0.000
0.000 0.000 9.690
La Ho Tl
12 4 12
direct
0.831 0.331 0.169
0.932 0.932 0.932
0.824 0.676 0.324
0.169 0.831 0.331
0.176 0.176 0.176
0.324 0.824 0.676
0.068 0.432 0.568
0.331 0.169 0.831
0.676 0.324 0.824
0.669 0.669 0.669
0.568 0.068 0.432
0.432 0.568 0.068
0.076 0.576 0.924
0.924 0.076 0.576
0.424 0.424 0.424
0.576 0.924 0.076
0.758 0.634 0.996
0.866 0.004 0.258
0.996 0.758 0.634
0.134 0.504 0.242
0.242 0.134 0.504
0.258 0.866 0.004
0.004 0.258 0.866
0.366 0.496 0.742
0.504 0.242 0.134
0.634 0.996 0.758
0.742 0.366 0.496
0.496 0.742 0.366
```

Formation enthalpy at 0 K ... -0.299 eV/atom
Energy above the lowest structure with this stoichiometry ... 0.00 eV per formula unit

***

For each record above, in turn, the calculated density of states at the Fermi level values are 3.230 0.000 2.606 2.799 9.588 0.828 15.959 10.043 2.243 5.412 9.807 29.319 states/eV per cell.